# 1
Re2Tc3Os4 after structural relaxation, computed with PBE.

The structure belongs to space group C2/c (No. 15); the cell edges are 13.405, 4.530 and 10.088 Å and the angles 90.00°, 115.37° and 90.00°. The inequivalent atoms are Re at (0.171, 0.052, 0.014), Tc at (0.000, 0.036, 0.250), Tc at (0.118, 0.489, 0.828), Os at (0.040, 0.272, 0.563) and Os at (0.238, 0.031, 0.309).

The energy comes out at -10.901 eV/atom. As for the formation energy: 0.31 eV/atom. The density of states at the Fermi level is 28.52 states/eV/cell.



# 2
ReTc2Os after structural relaxation, computed with PBE.

The structure belongs to space group R3m (No. 160, hexagonal axes); the cell edges are 2.7405, 2.7405 and 27.0377 Å and the angles 90.00°, 90.00° and 120.00°. The inequivalent atoms are Re at (0.0000, 0.0000, 0.0000), Tc at (0.0000, 0.0000, 0.2482), Tc at (0.0000, 0.0000, 0.5003) and Os at (0.0000, 0.0000, 0.7485).

The energy comes out at -11.042 eV/atom. As for the formation energy: 0.06 eV/atom. The density of states at the Fermi level is 11.90 states/eV/cell. For the relative energy among the computed polymorphs, the calculation gives 113.1 meV per atom.



# 3
ReTc8Os2 after structural relaxation, computed with PBE.

The structure belongs to space group Immm (No. 71); the cell edges are 4.300, 6.016 and 12.826 Å and the angles 90.00°, 90.00° and 90.00°. The inequivalent atoms are Re at (0.000, 0.000, 0.000), Tc at (0.000, 0.198, 0.500), Tc at (0.000, 0.283, 0.142), Tc at (0.000, 0.500, 0.333) and Os at (0.000, 0.000, 0.302).

The energy comes out at -10.547 eV/atom. As for the formation energy: 0.17 eV/atom. The density of states at the Fermi level is 16.46 states/eV/cell.



# 4
Re2TcOs after structural relaxation, computed with PBE.

The structure belongs to space group P4_2/mmc (No. 131); the cell edges are 4.945, 4.945 and 4.891 Å and the angles 90.00°, 90.00° and 90.00°. The inequivalent atoms are Re at (0.000, 0.250, 0.000), Tc at (0.500, 0.500, 0.250) and Os at (0.000, 0.500, 0.500).

The energy comes out at -11.442 eV/atom. As for the formation energy: 0.18 eV/atom. The density of states at the Fermi level is 5.20 states/eV/cell. For the relative energy among the computed polymorphs, the calculation gives 200.0 meV per atom.



# 5
ReTc3Os after structural relaxation, computed with PBE.

The structure belongs to space group P2_1/m (No. 11); the cell edges are 6.597, 2.760 and 8.775 Å and the angles 90.00°, 111.33° and 90.00°. The inequivalent atoms are Re at (0.126, 0.250, 0.434), Tc at (0.003, 0.250, 0.863), Tc at (0.289, 0.750, 0.737), Tc at (0.426, 0.750, 0.367) and Os at (0.366, 0.750, 0.053).

The energy comes out at -10.835 eV/atom. As for the formation energy: 0.12 eV/atom. The density of states at the Fermi level is 9.50 states/eV/cell. For the relative energy among the computed polymorphs, the calculation gives 165.1 meV per atom.



# 6
VReTcOs after structural relaxation, computed with PBE.

The structure belongs to space group F-43m (No. 216); the cell edges are 6.134, 6.134 and 6.134 Å and the angles 90.00°, 90.00° and 90.00°. The inequivalent atoms are V at (0.000, 0.000, 0.000), Re at (0.000, 0.000, 0.500), Tc at (0.250, 0.250, 0.750) and Os at (0.250, 0.250, 0.250).

The energy comes out at -10.730 eV/atom. As for the formation energy: 0.06 eV/atom. The density of states at the Fermi level is 18.80 states/eV/cell.



no.,total magnetization (μB/atom)
1,0.00
2,0.00
3,0.00
4,0.00
5,0.00
6,0.00